# Zn3NiPt6

A geometry-optimized Zn3NiPt6 structure (PBE, Alexandria via LeMat-Bulk).

Properties
ρ: 16.07 g cm⁻³
uncorrected energy: -4.91 eV/atom
crystal system: monoclinic
energy of formation from the pure elements: -3.28 eV/f.u.

Geometry as extended XYZ:
```
20
Lattice="7.332 0.000 0.000 0.000 4.466 0.000 -3.562 0.000 8.995" Properties=species:S:1:pos:R:3 pbc="T T T"
Zn -0.118 1.117 2.046
Zn 2.083 1.117 0.229
Zn 1.005 3.350 3.381
Zn 2.765 1.117 5.613
Zn 1.687 3.350 8.766
Zn 3.887 3.350 6.948
Ni -1.270 3.350 5.149
Ni 5.039 1.117 3.846
Pt -1.996 1.117 6.411
Pt 0.521 3.350 0.689
Pt 0.170 1.117 4.693
Pt -0.945 3.350 7.744
Pt 0.617 1.117 7.480
Pt 2.468 1.117 2.967
Pt 1.301 3.350 6.028
Pt 3.153 3.350 1.514
Pt 4.715 1.117 1.251
Pt 3.599 3.350 4.302
Pt 3.249 1.117 8.306
Pt 5.766 3.350 2.584
```